1.
First-principles (PBE) data for crystalline Sm4Si3S12 at its relaxed geometry, as listed in Alexandria.

POSCAR file:
```
Sm4Si3S12
1.0
-0.516 -9.635 6.023
2.247 -1.396 -11.063
5.720 8.462 5.006
Sm S Si
8 24 6
direct
0.786 0.563 0.026
0.508 0.508 0.508
0.063 0.286 0.526
0.526 0.063 0.286
0.008 0.008 0.008
0.286 0.526 0.063
0.026 0.786 0.563
0.563 0.026 0.786
0.320 0.321 0.133
0.380 0.699 0.412
0.633 0.821 0.820
0.687 0.610 0.219
0.187 0.719 0.110
0.916 0.380 0.650
0.880 0.416 0.150
0.133 0.320 0.321
0.912 0.199 0.880
0.699 0.412 0.380
0.719 0.110 0.187
0.412 0.380 0.699
0.199 0.880 0.912
0.820 0.633 0.821
0.110 0.187 0.719
0.650 0.916 0.380
0.416 0.150 0.880
0.880 0.912 0.199
0.219 0.687 0.610
0.610 0.219 0.687
0.150 0.880 0.416
0.321 0.133 0.320
0.821 0.820 0.633
0.380 0.650 0.916
0.031 0.647 0.859
0.859 0.031 0.647
0.147 0.531 0.359
0.359 0.147 0.531
0.647 0.859 0.031
0.531 0.359 0.147
```

Summary:
Raw formation energy   -1.404 eV/atom
SG   R3c (161)
Magnetization   0.0 μB per formula unit

---

2.
First-principles (PBE) data for crystalline Sm2SiS4 at its relaxed geometry, as listed in Alexandria.

POSCAR file:
```
Sm2SiS4
1.0
-2.155 3.244 5.145
-5.501 -3.368 -0.181
5.308 -2.474 -0.264
S Sm Si
4 2 1
direct
0.251 0.749 0.000
0.251 0.251 0.000
0.749 0.749 0.000
0.749 0.251 0.000
0.250 0.750 0.500
0.750 0.250 0.500
0.500 0.500 0.000
```

Summary:
Raw formation energy   -1.294 eV/atom
SG   I4/mmm (139)
Magnetization   0.0 μB per formula unit

---

3.
First-principles (PBE) data for crystalline Sm4SiS2 at its relaxed geometry, as listed in Alexandria.

POSCAR file:
```
Sm4SiS2
1.0
4.052 0.000 0.000
-2.026 6.531 0.000
0.000 0.000 13.469
S Si Sm
4 2 8
direct
0.137 0.274 0.062
0.137 0.274 0.438
0.863 0.726 0.938
0.863 0.726 0.562
0.608 0.215 0.750
0.392 0.785 0.250
0.225 0.449 0.623
0.775 0.551 0.377
0.947 0.895 0.750
0.500 0.000 0.000
0.225 0.449 0.877
0.053 0.105 0.250
0.775 0.551 0.123
0.500 0.000 0.500
```

Summary:
Raw formation energy   -1.380 eV/atom
SG   Cmcm (63)
Magnetization   0.0 μB per formula unit